Compound: Ga2CoCl
Source: Alexandria
Functional: PBE-GGA
Structure: relaxed

ΔE_f (raw)   1.7 eV per formula unit

a b c (Å): 6.6955 6.6955 6.6955
angles (deg): 90.00 90.00 90.00
Closest atoms and distances in Å follow each position.
Space group Fm-3m (No. 225)
Inequivalent atoms, fractional coordinates:
1 Ga 0.2500 0.2500 0.2500  4 Cl 2.90, 4 Co 2.90
2 Co 0.0000 0.0000 0.0000  8 Ga 2.90
3 Cl 0.0000 0.0000 0.5000  8 Ga 2.90



Compound: Tb3Pm4Y8
Source: Alexandria
Functional: PBE-GGA
Structure: relaxed

Formation enthalpy at 0 K   13 kJ per mole of atoms

a b c (Å): 7.0054 7.0054 35.5300
angles (deg): 90.00 90.00 120.00
Closest atoms and distances in Å follow each position.
Space group R-3m (No. 166, hexagonal axes)
Inequivalent atoms, fractional coordinates:
1 Tb 0.0000 0.5000 0.0000  6 Y 3.45-3.57, 4 Tb 3.50, 2 Pm 3.50
2 Pm 0.0000 0.0000 0.0000  6 Tb 3.50, 6 Y 3.58
3 Pm 0.0000 0.0000 0.1638  4 Y 3.23-3.52
4 Pm 0.0000 0.0000 0.5000  6 Y 3.60
5 Y 0.0000 0.0000 0.2547  1 Pm 3.23, 3 Tb 3.45, 6 Y 3.51
6 Y 0.0013 0.5007 0.2505  6 Y 3.49-3.52, 3 Pm 3.52-3.60, 2 Tb 3.57



Compound: KMgZn3
Source: Alexandria
Functional: PBE-GGA
Structure: relaxed

Formation enthalpy at 0 K   82 kJ per mole of atoms

a b c (Å): 6.1791 6.1791 6.1791
angles (deg): 90.00 90.00 90.00
Closest atoms and distances in Å follow each position.
Space group Pm-3m (No. 221)
Inequivalent atoms, fractional coordinates:
1 K 0.0000 0.0000 0.0000  6 Zn 3.09
2 Mg 0.5000 0.5000 0.5000  12 Zn 4.37
3 Zn 0.0000 0.0000 0.5000  2 K 3.09



Compound: PmPrCBr
Source: Alexandria
Functional: PBE-GGA
Structure: relaxed

ΔE_f (raw)   -3.5 eV per formula unit

a b c (Å): 3.8020 3.8020 22.5216
angles (deg): 90.00 90.00 120.00
Closest atoms and distances in Å follow each position.
Space group R3m (No. 160, hexagonal axes)
Inequivalent atoms, fractional coordinates:
1 Pm 0.0000 0.0000 0.0000  3 C 2.56
2 Pr 0.0000 0.0000 0.2112  3 C 2.62
3 C 0.0000 0.0000 0.6081  3 Pm 2.56, 3 Pr 2.62
4 Br 0.0000 0.0000 0.4359  3 Pm 3.19, 3 Pr 3.29



Sequential density of states at the Fermi level output: 29.32; 70.45; 3.12; 6.41 states/eV/cell